Record 1
The following is a DFT calculation (PBE) of an optimized crystal structure of Pm6Pr2NdHo3.

Lattice parameters (Å, degrees): 6.2987 6.2987 12.0201 95.01 95.01 120.01
Fractional positions:
1 Pm 0.0849 0.4180 0.7550
2 Pm 0.2482 0.2482 0.2449
3 Pm 0.4180 0.0849 0.7550
4 Pm 0.5820 0.9151 0.2450
5 Pm 0.7518 0.7518 0.7551
6 Pm 0.9151 0.5820 0.2450
7 Pr 0.3334 0.6666 0.5000
8 Pr 0.6666 0.3334 0.5000
9 Nd 0.0000 0.0000 0.5000
10 Ho 0.1666 0.8334 0.0000
11 Ho 0.5000 0.5000 0.0000
12 Ho 0.8334 0.1666 0.0000

Calculated formation energy, meV/atom: 17
Crystal system: monoclinic
Space-group type: C2/m (12)

=====

Record 2
The following is a DFT calculation (PBE) of an optimized crystal structure of Pm2PrNd6Ho.

Lattice parameters (Å, degrees): 9.0095 9.0095 9.8652 94.11 94.11 117.83
Fractional positions:
1 Pm 0.1985 0.2984 0.0442
2 Pm 0.2984 0.1985 0.5442
3 Pm 0.7016 0.8015 0.4558
4 Pm 0.8015 0.7016 0.9558
5 Pr 0.0213 0.9788 0.2500
6 Pr 0.9788 0.0213 0.7500
7 Nd 0.0130 0.5685 0.1878
8 Nd 0.1195 0.7506 0.5546
9 Nd 0.2494 0.8805 0.9454
10 Nd 0.2943 0.5068 0.3812
11 Nd 0.4315 0.9870 0.3122
12 Nd 0.4932 0.7057 0.1188
13 Nd 0.5068 0.2943 0.8812
14 Nd 0.5685 0.0130 0.6878
15 Nd 0.7057 0.4932 0.6188
16 Nd 0.7506 0.1195 0.0546
17 Nd 0.8805 0.2494 0.4454
18 Nd 0.9870 0.4315 0.8122
19 Ho 0.4092 0.5908 0.7500
20 Ho 0.5908 0.4092 0.2500

Calculated formation energy, meV/atom: 111
Crystal system: monoclinic
Space-group type: C2/c (15)

=====

| no. | total DFT energy (no corrections) (eV/f.u.) |
| --- | --- |
| 1 | -56.4 |
| 2 | -46.4 |